# CdCo2Te | Alexandria | SCAN | PBEsol geometry
data_CdCo2Te
_cell_length_a 6.204
_cell_length_b 6.204
_cell_length_c 6.204
_cell_angle_alpha 90.00
_cell_angle_beta 90.00
_cell_angle_gamma 90.00
_space_group_name_H-M_alt 'F m -3 m'
_space_group_IT_number 225
_space_group_name_Hall '-F 4 2 3'
loop_
_atom_site_label
_atom_site_type_symbol
_atom_site_fract_x
_atom_site_fract_y
_atom_site_fract_z
Cd1 Cd 0.000 0.000 0.000
Co1 Co 0.250 0.250 0.250
Te1 Te 0.000 0.000 0.500
# - N(E_F) (states/eV/cell) = 6.21
# - total moment (μB per cell) = 7.92
# - calculated total energy (eV per atom) = -25.129